No. 1
An optimized crystal structure of TlBRh3, computed with PBE-GGA.

Values from the calculation:
E_form = -35.6 kJ/mol of formula units

Structure (POSCAR):
```
TlBRh3
1.0
10.8329 0.0000 0.4948
4.4080 5.8754 -2.1248
-4.4080 5.8754 2.1248
Rh Tl B
12 4 4
Direct
0.5776 0.8611 0.7550 Rh
0.5902 0.6049 0.5285 Rh
0.9224 0.2550 0.3611 Rh
0.0902 0.9715 0.8951 Rh
0.4001 0.6621 0.7088 Rh
0.9098 0.0285 0.1049 Rh
0.4098 0.3951 0.4715 Rh
0.0999 0.2088 0.1621 Rh
0.0776 0.7450 0.6389 Rh
0.4224 0.1389 0.2450 Rh
0.5999 0.3379 0.2912 Rh
0.9001 0.7912 0.8379 Rh
0.9356 0.5070 0.6507 Tl
0.0644 0.4930 0.3493 Tl
0.4356 0.8493 0.9930 Tl
0.5644 0.1507 0.0070 Tl
0.2500 0.5550 0.0550 B
0.2500 0.8096 0.3096 B
0.7500 0.1904 0.6904 B
0.7500 0.4450 0.9450 B
```


No. 2
An optimized crystal structure of KMg4Hg5, computed with PBE-GGA.

Values from the calculation:
E_form = -200.0 kJ/mol of formula units

Structure (POSCAR):
```
KMg4Hg5
1.0
-3.2137 -0.4407 -1.5736
1.3267 -2.7305 -1.9448
-4.8639 -11.7894 13.2345
Mg Hg K
4 5 1
Direct
0.0000 0.0000 0.7710 Mg
0.0000 0.0000 0.2290 Mg
0.0000 0.0000 0.5908 Mg
0.0000 0.0000 0.4092 Mg
0.5000 0.5000 0.3188 Hg
0.5000 0.5000 0.6812 Hg
0.5000 0.5000 0.5000 Hg
0.5000 0.5000 0.8637 Hg
0.5000 0.5000 0.1363 Hg
0.0000 0.0000 0.0000 K
```


No. 3
An optimized crystal structure of Zn2AgAu3, computed with PBE-GGA.

Values from the calculation:
E_form = -85.7 kJ/mol of formula units
relative energy among the computed polymorphs = 0 meV/atom

Structure (POSCAR):
```
Zn2AgAu3
1.0
3.1784 0.0000 0.0000
0.0000 4.3741 -1.4790
0.0000 0.0233 7.2766
Zn Au Ag
2 3 1
Direct
0.0000 0.6586 0.3173 Zn
0.0000 0.3414 0.6827 Zn
0.5000 0.8200 0.6400 Au
0.5000 0.1800 0.3600 Au
0.5000 0.5000 0.0000 Au
0.0000 0.0000 0.0000 Ag
```


No. 4
An optimized crystal structure of LaYCo3, computed with PBE-GGA.

Values from the calculation:
E_form = -61.2 kJ/mol of formula units
relative energy among the computed polymorphs = 0 meV/atom

Structure (POSCAR):
```
LaYCo3
1.0
-1.2403 3.5674 1.1756
-1.4558 -1.6901 3.5927
11.0860 2.7654 3.3043
Co La Y
6 2 2
Direct
0.2500 0.4755 0.9510 Co
0.2500 0.6695 0.3391 Co
0.7500 0.3305 0.6609 Co
0.2500 0.3769 0.7538 Co
0.7500 0.5245 0.0490 Co
0.7500 0.6231 0.2462 Co
0.2500 0.0719 0.1439 La
0.7500 0.9281 0.8561 La
0.2500 0.7936 0.5871 Y
0.7500 0.2064 0.4129 Y
```


No. 5
An optimized crystal structure of Li3HfTa, computed with PBE-GGA.

Values from the calculation:
E_form = 774.2 kJ/mol of formula units
relative energy among the computed polymorphs = 0 meV/atom

Structure (POSCAR):
```
Li3HfTa
1.0
4.6436 0.0000 0.0000
0.0000 4.6436 0.0000
0.0000 0.0000 4.6436
Li Hf Ta
3 1 1
Direct
0.0000 0.5000 0.0000 Li
0.5000 0.0000 0.0000 Li
0.0000 0.0000 0.5000 Li
0.5000 0.5000 0.5000 Hf
0.0000 0.0000 0.0000 Ta
```


No. 6
An optimized crystal structure of KBa2CrCl8, computed with PBE-GGA.

Values from the calculation:
energy relative to the elements, uncorrected = -1.9461 eV per atom

Structure (POSCAR):
```
KBa2CrCl8
1.0
-2.3519 6.2954 0.2752
-2.2529 -1.8755 -6.7353
-8.2534 -3.9882 -0.4295
Cl Cr K Ba
8 1 1 2
Direct
0.7101 0.8466 0.9089 Cl
0.7972 0.1461 0.1054 Cl
0.0114 0.2891 0.7447 Cl
0.9886 0.7109 0.2553 Cl
0.5775 0.7289 0.5537 Cl
0.2028 0.8539 0.8946 Cl
0.2899 0.1534 0.0911 Cl
0.4225 0.2711 0.4463 Cl
0.0000 0.0000 0.0000 Cr
0.0000 0.0000 0.5000 K
0.5263 0.2779 0.7715 Ba
0.4737 0.7221 0.2285 Ba
```


No. 7
An optimized crystal structure of Ca2Al7Cu, computed with PBE-GGA.

Values from the calculation:
E_form = -214.7 kJ/mol of formula units

Structure (POSCAR):
```
Ca2Al7Cu
1.0
4.2295 0.0000 0.0000
0.0000 4.2295 0.0000
0.0000 0.0000 11.3407
Al Ca Cu
7 2 1
Direct
0.5000 0.5000 0.5000 Al
0.5000 0.0000 0.1297 Al
0.5000 0.0000 0.3567 Al
0.0000 0.0000 0.0000 Al
0.0000 0.5000 0.6433 Al
0.0000 0.5000 0.8703 Al
0.0000 0.0000 0.5000 Al
0.5000 0.0000 0.7584 Ca
0.0000 0.5000 0.2416 Ca
0.5000 0.5000 0.0000 Cu
```


No. 8
An optimized crystal structure of SrTlRh4, computed with PBE-GGA.

Values from the calculation:
E_form = -28.6 kJ/mol of formula units

Structure (POSCAR):
```
SrTlRh4
1.0
3.9971 -2.6425 2.4816
-0.8081 -2.1438 4.8856
-0.2631 -5.3578 0.5855
Rh Tl Sr
4 1 1
Direct
0.3744 0.3744 0.8769 Rh
0.3744 0.3744 0.3744 Rh
0.3744 0.8769 0.3744 Rh
0.8769 0.3744 0.3744 Rh
0.0000 0.0000 0.0000 Tl
0.7500 0.7500 0.7500 Sr
```


no.,electronic total energy (eV per atom),Fermi-level density of states (states/eV/f.u.),spin magnetization (μB/cell)
1,-6.29,5.05,0.0
2,-1.11,4.57,0.0
3,-2.69,1.42,0.0
4,-6.67,4.24,3.6
5,-3.90,5.81,2.3
6,-4.39,0.00,3.0
7,-3.65,1.24,0.0
8,-5.62,10.11,1.3